GGA-PBE SrCaV2Tc, relaxed; formation energy from the elements = 2499 meV/atom
1.0
4.5679 0.0000 0.0000
0.0000 5.0719 0.0000
0.0000 0.0000 4.5679
V Ca Tc Sr
2 1 1 1
direct
0.5000 0.0000 0.0000
0.0000 0.0000 0.5000
0.0000 0.5000 0.0000
0.5000 0.5000 0.5000
0.0000 0.0000 0.0000